[1]
The following is a SCAN calculation of a crystal of Zn5Hg relaxed with PBEsol, from Alexandria via LeMat-Bulk.

Calculated values
For the size of the total moment, the calculation gives 0.00 μB per cell. The density is 9.33 g cm⁻³. Its crystal system is tetragonal. The total energy is -22.51 eV/atom. The formation energy from the elements comes out at 0.110 eV/atom.

Lattice parameters (Å, degrees): 2.8323 2.8323 11.7072 90.00 90.00 90.00
Space group P4/mmm (No. 123)
Inequivalent atoms, fractional coordinates:
Zn (0.0000, 0.0000, 0.0000) x1
Zn (0.0000, 0.0000, 0.3072) x2
Zn (0.5000, 0.5000, 0.1560) x2
Hg (0.5000, 0.5000, 0.5000) x1



[2]
The following is a SCAN calculation of a crystal of ZnHg2 relaxed with PBEsol, from Alexandria via LeMat-Bulk.

Calculated values
For the size of the total moment, the calculation gives 0.00 μB per cell. The density is 12.52 g cm⁻³. Its crystal system is orthorhombic. The total energy is -49.86 eV/atom. The formation energy from the elements comes out at 0.092 eV/atom.

Lattice parameters (Å, degrees): 4.2241 8.0878 3.6236 90.00 90.00 90.00
Space group Pnnm (No. 58)
Inequivalent atoms, fractional coordinates:
Zn (0.0000, 0.0000, 0.0000) x2
Hg (0.1072, 0.3326, 0.0000) x4



[3]
The following is a SCAN calculation of a crystal of Zn3Hg relaxed with PBEsol, from Alexandria via LeMat-Bulk.

Calculated values
For the size of the total moment, the calculation gives 0.00 μB per cell. The density is 9.96 g cm⁻³. Its crystal system is orthorhombic. The total energy is -27.12 eV/atom. The formation energy from the elements comes out at 0.063 eV/atom.

Lattice parameters (Å, degrees): 5.3560 5.3625 4.6056 90.00 90.00 90.00
Space group Pmmn (No. 59, origin choice 2)
Inequivalent atoms, fractional coordinates:
Zn (0.0098, 0.2500, 0.1624) x4
Zn (0.2500, 0.2500, 0.6676) x2
Hg (0.2500, 0.7500, 0.3389) x2



[4]
The following is a SCAN calculation of a crystal of Zn5Hg relaxed with PBEsol, from Alexandria via LeMat-Bulk.

Calculated values
For the size of the total moment, the calculation gives 0.00 μB per cell. The density is 9.46 g cm⁻³. Its crystal system is orthorhombic. The total energy is -22.52 eV/atom. The formation energy from the elements comes out at 0.103 eV/atom.

Lattice parameters (Å, degrees): 4.4151 2.8644 14.6472 90.00 90.00 90.00
Space group Amm2 (No. 38)
Inequivalent atoms, fractional coordinates:
Zn (0.0000, 0.0000, 0.0000) x2
Zn (0.0000, 0.0000, 0.3117) x2
Zn (0.0000, 0.0000, 0.6549) x2
Zn (0.5000, 0.0000, 0.1059) x2
Zn (0.5000, 0.0000, 0.7583) x2
Hg (0.5000, 0.0000, 0.4286) x2



[5]
The following is a SCAN calculation of a crystal of Zn3Hg relaxed with PBEsol, from Alexandria via LeMat-Bulk.

Calculated values
For the size of the total moment, the calculation gives 0.00 μB per cell. The density is 10.19 g cm⁻³. Its crystal system is cubic. The total energy is -27.09 eV/atom. The formation energy from the elements comes out at 0.091 eV/atom.

Lattice parameters (Å, degrees): 5.0573 5.0573 5.0573 90.00 90.00 90.00
Space group Pm-3n (No. 223)
Inequivalent atoms, fractional coordinates:
Zn (0.0000, 0.2500, 0.5000) x6
Hg (0.0000, 0.0000, 0.0000) x2



[6]
The following is a SCAN calculation of a crystal of ZnHg relaxed with PBEsol, from Alexandria via LeMat-Bulk.

Calculated values
For the size of the total moment, the calculation gives 0.00 μB per cell. The density is 11.99 g cm⁻³. Its crystal system is tetragonal. The total energy is -40.64 eV/atom. The formation energy from the elements comes out at 0.197 eV/atom.

Lattice parameters (Å, degrees): 4.1421 4.1421 8.5862 90.00 90.00 90.00
Space group I4_1/amd (No. 141, origin choice 2)
Inequivalent atoms, fractional coordinates:
Zn (0.0000, 0.2500, 0.3750) x4
Hg (0.0000, 0.2500, 0.8750) x4